Record 1
Computed, not measured: crystalline NaPmCuPd at its relaxed geometry at the PBE level of DFT.

Unit cell a=6.989 b=6.989 c=6.989 alpha=90.00 beta=90.00 gamma=90.00
Fractional coordinates of all 16 atoms:
Na 0.000 0.000 0.000
Na 0.000 0.500 0.500
Na 0.500 0.000 0.500
Na 0.500 0.500 0.000
Pm 0.000 0.000 0.500
Pm 0.000 0.500 0.000
Pm 0.500 0.000 0.000
Pm 0.500 0.500 0.500
Cu 0.250 0.250 0.750
Cu 0.250 0.750 0.250
Cu 0.750 0.250 0.250
Cu 0.750 0.750 0.750
Pd 0.250 0.250 0.250
Pd 0.250 0.750 0.750
Pd 0.750 0.250 0.750
Pd 0.750 0.750 0.250

Magnetization in μB per atom: 0.000
Fermi-level density of states in states/eV/cell: 9.393
Volume in Å³/f.u.: 85
ΔE_f in eV/atom: -0.192


Record 2
Computed, not measured: crystalline RbBaTa2Cl at its relaxed geometry at the PBE level of DFT.

Unit cell a=5.246 b=5.246 c=11.958 alpha=90.00 beta=90.00 gamma=90.00
Fractional coordinates of all 5 atoms:
Rb 0.000 0.000 0.000
Ba 0.000 0.000 0.500
Ta 0.000 0.500 0.500
Ta 0.500 0.000 0.500
Cl 0.500 0.500 0.000

Magnetization in μB per atom: 0.398
Fermi-level density of states in states/eV/cell: 3.848
Volume in Å³/f.u.: 329
Formation energy without anion corrections in eV/atom: 2.024


Record 3
Computed, not measured: crystalline InW2Br at its relaxed geometry at the PBE level of DFT.

Unit cell a=13.667 b=3.298 c=4.768 alpha=90.00 beta=96.75 gamma=90.00
Fractional coordinates of all 8 atoms:
In 0.000 0.000 0.000
In 0.500 0.500 0.000
W 0.020 0.500 0.511
W 0.388 0.500 0.459
W 0.520 0.000 0.511
W 0.888 0.000 0.459
Br 0.233 0.000 0.555
Br 0.733 0.500 0.555

Offset from the most stable computed form in kJ/mol of formula units: 144.5
Magnetization in μB per atom: 0.000
Fermi-level density of states in states/eV/cell: 1.735
Volume in Å³/f.u.: 107
Formation energy without anion corrections in eV/atom: 0.705